First-principles (PBE) data for an optimized crystal structure of Pm4CuGe2, as listed in Alexandria.

Output
Formation energy from the elements (eV/atom): -0.44
Electronic total energy (eV/cell): -106.25
Total moment (Bohr magnetons per cell): 0.0

Lattice parameters (Å, degrees): 5.0168 5.0168 26.1174 90.00 90.00 120.00
Last column: nearest neighbours and their distance in Å.
Space group R-3m (No. 166, hexagonal axes)
One atom of each set of equivalent atoms:
Pm1 0.0000 0.0000 0.1243 x6  3 Cu 3.10, 3 Ge 3.17
Pm2 0.0000 0.0000 0.2921 x6  4 Ge 3.03-3.04
Cu1 0.0000 0.0000 0.5000 x3  2 Ge 2.39
Ge1 0.0000 0.0000 0.4086 x6  1 Cu 2.39